# Ni2MoW, optimized geometry, DFT PBE-GGA
# DFT formation energy: 0.03 eV per atom
# Total magnetization: 0.000 μB/cell
# Energy relative to the lowest polymorph listed for this composition: 40 meV/atom
data_Ni2MoW
_cell_length_a 3.761
_cell_length_b 3.761
_cell_length_c 3.780
_cell_angle_alpha 90.00
_cell_angle_beta 90.00
_cell_angle_gamma 90.00
_symmetry_space_group_name_H-M 'P 4/m m m'
_symmetry_Int_Tables_number 123
_symmetry_space_group_name_Hall '-P 4 2'
loop_
_atom_site_label
_atom_site_type_symbol
_atom_site_fract_x
_atom_site_fract_y
_atom_site_fract_z
Ni1 Ni 0.000 0.500 0.000
Mo1 Mo 0.000 0.000 0.500
W1 W 0.500 0.500 0.500